Entry from the Alexandria database: a relaxed AcPr3HoEr crystal (PBE).

Structure (POSCAR):
```
AcPr3HoEr
1.0
5.890 0.000 0.000
-2.945 10.375 1.665
0.000 -1.273 7.002
Ac Pr Ho Er
2 6 2 2
Direct
0.352 0.705 0.967
0.648 0.295 0.033
0.841 0.682 0.254
0.780 0.561 0.718
0.484 0.968 0.258
0.220 0.439 0.282
0.516 0.032 0.742
0.159 0.318 0.746
0.060 0.120 0.306
0.940 0.880 0.694
0.641 0.282 0.490
0.359 0.718 0.510
```

size of the total moment	0.000	μB/atom
formation energy	0.214	eV/atom
SG	C2/m